(1)
## Tc2HgW (GGA-PBE)

Data for crystalline Tc2HgW at its relaxed geometry.

It has space group P4mm (No. 99), with a = 3.380 Å, b = 3.380 Å, c = 5.937 Å, α = 90.00°, β = 90.00° and γ = 90.00°. The asymmetric unit holds Tc at (0.000, 0.000, 0.000), Tc at (0.500, 0.500, 0.219), Hg at (0.500, 0.500, 0.716) and W at (0.000, 0.000, 0.413).

For the energy of formation from the pure elements, the calculation gives 0.555 eV/atom. As for the density of states at the Fermi level: 0.937 states/eV per atom.

=====

(2)
## BiRh (GGA-PBE)

Data for crystalline BiRh at its relaxed geometry.

It has space group P6_3/mmc (No. 194), with a = 4.1717 Å, b = 4.1717 Å, c = 5.7235 Å, α = 90.00°, β = 90.00° and γ = 120.00°. The asymmetric unit holds Bi at (0.3333, 0.6667, 0.2500) and Rh at (0.0000, 0.0000, 0.0000).

For the energy of formation from the pure elements, the calculation gives -0.172 eV/atom. As for the density of states at the Fermi level: 0.902 states/eV per atom.

=====

(3)
## CeZnTcGe2 (GGA-PBE)

Data for crystalline CeZnTcGe2 at its relaxed geometry.

It has space group I-4m2 (No. 119), with a = 4.057 Å, b = 4.057 Å, c = 11.254 Å, α = 90.00°, β = 90.00° and γ = 90.00°. The asymmetric unit holds Ce at (0.000, 0.000, 0.000), Zn at (0.000, 0.500, 0.750), Tc at (0.000, 0.500, 0.250) and Ge at (0.000, 0.000, 0.385).

For the energy of formation from the pure elements, the calculation gives -0.343 eV/atom. As for the density of states at the Fermi level: 1.558 states/eV per atom.

=====

(4)
## CeCoSi2Ni (GGA-PBE)

Data for crystalline CeCoSi2Ni at its relaxed geometry.

It has space group I-4m2 (No. 119), with a = 3.991 Å, b = 3.991 Å, c = 9.679 Å, α = 90.00°, β = 90.00° and γ = 90.00°. The asymmetric unit holds Ce at (0.000, 0.000, 0.000), Co at (0.000, 0.500, 0.250), Si at (0.000, 0.000, 0.372) and Ni at (0.000, 0.500, 0.750).

As for the energy relative to the elements, uncorrected: -0.77 eV/atom. As for the density of states at the Fermi level: 0.971 states/eV per atom.

=====

(5)
## CsCrSb (GGA-PBE)

Data for crystalline CsCrSb at its relaxed geometry.

It has space group P4/nmm (No. 129, origin choice 2), with a = 4.908 Å, b = 4.908 Å, c = 8.849 Å, α = 90.00°, β = 90.00° and γ = 90.00°. The asymmetric unit holds Cs at (0.250, 0.250, 0.157), Cr at (0.250, 0.750, 0.500) and Sb at (0.250, 0.250, 0.653).

As for the energy relative to the elements, uncorrected: -0.05 eV/atom. As for the density of states at the Fermi level: 0.527 states/eV per atom.

=====

(6)
## NpGa4Ru2Pt (GGA-PBE)

Data for crystalline NpGa4Ru2Pt at its relaxed geometry.

It has space group R-3m (No. 166, hexagonal axes), with a = 4.2824 Å, b = 4.2824 Å, c = 25.5862 Å, α = 90.00°, β = 90.00° and γ = 120.00°. The asymmetric unit holds Np at (0.0000, 0.0000, 0.0000), Ga at (0.0000, 0.0000, 0.1277), Ga at (0.0000, 0.0000, 0.3973), Ru at (0.0000, 0.0000, 0.2335) and Pt at (0.0000, 0.0000, 0.5000).

For the energy of formation from the pure elements, the calculation gives -0.246 eV/atom. As for the density of states at the Fermi level: 1.910 states/eV per atom.

=====

(7)
## PrEuHo2 (GGA-PBE)

Data for crystalline PrEuHo2 at its relaxed geometry.

It has space group P4/mmm (No. 123), with a = 3.669 Å, b = 3.669 Å, c = 10.255 Å, α = 90.00°, β = 90.00° and γ = 90.00°. The asymmetric unit holds Pr at (0.000, 0.000, 0.000), Eu at (0.000, 0.000, 0.500) and Ho at (0.500, 0.500, 0.239).

For the energy of formation from the pure elements, the calculation gives 0.068 eV/atom. As for the density of states at the Fermi level: 1.499 states/eV per atom.

=====

(8)
## MoBr (GGA-PBE)

Data for crystalline MoBr at its relaxed geometry.

It has space group Cmcm (No. 63), with a = 4.714 Å, b = 11.143 Å, c = 3.234 Å, α = 90.00°, β = 90.00° and γ = 90.00°. The asymmetric unit holds Mo at (0.000, 0.077, 0.250) and Br at (0.000, 0.348, 0.250).

As for the energy relative to the elements, uncorrected: 0.47 eV/atom. As for the density of states at the Fermi level: 0.290 states/eV per atom.